# PrSm4Er5 (PBE, relaxed)
data_PrSm4Er5
_chemical_formula_sum 'Pr2 Sm8 Er10'
_symmetry_space_group_name_H-M 'C 1 2/m 1'
_symmetry_Int_Tables_number 12
_symmetry_space_group_name_Hall '-C 2y'
_cell_length_a 17.1626
_cell_length_b 3.5371
_cell_length_c 11.1500
_cell_angle_alpha 90.00
_cell_angle_beta 90.24
_cell_angle_gamma 90.00
loop_
_atom_site_label
_atom_site_type_symbol
_atom_site_fract_x
_atom_site_fract_y
_atom_site_fract_z
_atom_site_occupancy
Pr1 Pr 0.0000 0.0000 0.0000 1
Sm1 Sm 0.0302 0.5000 0.7469 1
Sm2 Sm 0.1551 0.0000 0.2498 1
Er1 Er 0.0000 0.0000 0.5000 1
Er2 Er 0.1731 0.5000 0.5473 1
Er3 Er 0.1751 0.5000 0.9466 1
# density of states at the Fermi level: 13.70 states/eV/f.u.
# E_form: 0.1962 eV per atom
# crystal system: monoclinic